VASP calculation (PBE+U) on a geometry-optimized Na2Ni2MoO6 structure.

Cell lengths 5.304, 8.998, 5.833 Å; angles 90.00, 109.36, 90.00 degrees
Space group C2/m (No. 12)
Symmetry-distinct sites (fractional):
Na1 0.000 0.176 0.000 (multiplicity 4)
Ni1 0.000 0.336 0.500 (multiplicity 4)
Mo1 0.000 0.000 0.500 (multiplicity 2)
O1 0.224 0.158 0.697 (multiplicity 8)
O2 0.236 0.000 0.304 (multiplicity 4)

Calculated values
- Energy: -5.508 eV/atom
- Calculated density: 4.5 g cm⁻³